The following is a PBE-GGA calculation of a geometry-optimized Tl2TePt structure, from the Alexandria database.

Computed properties:
The value obtained for the total energy is -3.305 eV per atom. The magnetic moment is 0.00 μB/cell. Its relative energy among the computed polymorphs is 1.46 eV per formula unit. The uncorrected formation energy is 0.1740 eV/atom.

Lattice parameters (Å, degrees): 6.1101 6.1101 3.1969 89.88 89.88 120.67
With the nearest neighbours (Å) after each atom.
Fractional positions:
1 Tl 0.5000 0.5000 0.0000  4 Tl 3.02-3.20
2 Tl 0.0000 0.0000 0.0000  4 Tl 3.02-3.20
3 Te 0.0000 0.5000 0.5000  2 Pt 3.02, 2 Te 3.20
4 Pt 0.5000 0.0000 0.5000  2 Te 3.02, 2 Pt 3.20



The following is a PBE-GGA calculation of a geometry-optimized YTe2P2 structure, from the Alexandria database.

Computed properties:
The value obtained for the total energy is -4.836 eV per atom. The magnetic moment is 0.00 μB/cell. Its relative energy among the computed polymorphs is 0.25 eV per formula unit. The uncorrected formation energy is -0.1223 eV/atom.

Lattice parameters (Å, degrees): 8.0272 8.0272 3.8430 90.00 90.00 90.00
With the nearest neighbours (Å) after each atom.
Fractional positions:
1 Te 0.3582 0.8582 0.0000  2 P 2.65
2 Te 0.8582 0.6418 0.0000  2 P 2.65
3 Te 0.6418 0.1418 0.0000  2 P 2.65
4 Te 0.1418 0.3582 0.0000  2 P 2.65
5 P 0.3028 0.1972 0.5000  2 Te 2.65
6 P 0.1972 0.6972 0.5000  2 Te 2.65
7 P 0.6972 0.8028 0.5000  2 Te 2.65
8 P 0.8028 0.3028 0.5000  2 Te 2.65
9 Y 0.5000 0.5000 0.0000  4 Te 3.09
10 Y 0.0000 0.0000 0.0000  4 Te 3.09



The following is a PBE-GGA calculation of a geometry-optimized BeCr2Br structure, from the Alexandria database.

Computed properties:
The value obtained for the total energy is -5.219 eV per atom. The magnetic moment is 2.91 μB/cell. Its relative energy among the computed polymorphs is 2.26 eV per formula unit. The uncorrected formation energy is 0.9426 eV/atom.

Lattice parameters (Å, degrees): 4.6959 4.7805 2.9081 78.31 78.08 116.51
With the nearest neighbours (Å) after each atom.
Fractional positions:
1 Cr 0.0000 0.0000 0.0000  2 Be 2.49, 2 Br 2.49, 2 Cr 2.53
2 Cr 0.0000 0.5000 0.5000  2 Br 2.49, 2 Be 2.49, 2 Cr 2.53
3 Br 0.5000 0.0000 0.5000  4 Cr 2.49, 2 Be 2.53
4 Be 0.5000 0.5000 0.0000  4 Cr 2.49, 2 Br 2.53



The following is a PBE-GGA calculation of a geometry-optimized InCuHPd2 structure, from the Alexandria database.

Computed properties:
The value obtained for the total energy is -4.212 eV per atom. The magnetic moment is 0.00 μB/cell. Its relative energy among the computed polymorphs is 0.89 eV per formula unit.

Lattice parameters (Å, degrees): 3.9719 3.9719 4.2522 90.00 90.00 90.00
With the nearest neighbours (Å) after each atom.
Fractional positions:
1 In 0.0000 0.0000 0.5000  2 H 2.13
2 Pd 0.0000 0.5000 0.0000  2 H 1.99
3 Pd 0.5000 0.0000 0.0000  2 H 1.99
4 Cu 0.5000 0.5000 0.5000  4 In 2.81, 8 Pd 2.91
5 H 0.0000 0.0000 0.0000  4 Pd 1.99, 2 In 2.13



The following is a PBE-GGA calculation of a geometry-optimized ThZrSn structure, from the Alexandria database.

Computed properties:
The value obtained for the total energy is -6.530 eV per atom. The magnetic moment is 1.16 μB/cell. Its formation energy is 0.127 eV per atom.

Lattice parameters (Å, degrees): 6.1993 7.6513 7.6513 90.00 90.00 90.00
With the nearest neighbours (Å) after each atom.
Fractional positions:
1 Zr 0.5000 0.0000 0.1752  1 Zr 2.68, 2 Sn 2.93
2 Zr 0.0000 0.8248 0.0000  1 Zr 2.68, 2 Sn 2.93
3 Zr 0.5000 0.0000 0.8248  1 Zr 2.68, 2 Sn 2.93
4 Zr 0.0000 0.1752 0.0000  1 Zr 2.68, 2 Sn 2.93
5 Th 0.0000 0.7800 0.5000  4 Sn 3.10-3.12, 1 Th 3.37
6 Th 0.5000 0.5000 0.7800  4 Sn 3.10-3.12, 1 Th 3.37
7 Th 0.5000 0.5000 0.2200  4 Sn 3.10-3.12, 1 Th 3.37
8 Th 0.0000 0.2200 0.5000  4 Sn 3.10-3.12, 1 Th 3.37
9 Sn 0.0000 0.5000 0.2034  2 Zr 2.93, 4 Th 3.10-3.12, 1 Sn 3.11
10 Sn 0.5000 0.7966 0.5000  2 Zr 2.93, 4 Th 3.10-3.12, 1 Sn 3.11
11 Sn 0.0000 0.5000 0.7966  2 Zr 2.93, 4 Th 3.10-3.12, 1 Sn 3.11
12 Sn 0.5000 0.2034 0.5000  2 Zr 2.93, 4 Th 3.10-3.12, 1 Sn 3.11



The following is a PBE-GGA calculation of a geometry-optimized AcNbBiO6 structure, from the Alexandria database.

Computed properties:
The value obtained for the total energy is -7.530 eV per atom. The magnetic moment is 0.00 μB/cell. The uncorrected formation energy is -2.2183 eV/atom.

Lattice parameters (Å, degrees): 5.2261 5.2261 10.5128 90.00 90.00 90.00
With the nearest neighbours (Å) after each atom.
Fractional positions:
1 O 0.7250 0.7250 0.3472  1 Nb 2.04
2 O 0.1720 0.8280 0.1811  1 Nb 2.06, 1 Bi 2.30
3 O 0.6720 0.6720 0.6811  1 Nb 2.06, 1 Bi 2.30
4 O 0.3083 0.3083 0.9707  1 Nb 2.01
5 O 0.3280 0.3280 0.6811  1 Nb 2.06, 1 Bi 2.30
6 O 0.7750 0.2250 0.8472  1 Nb 2.04
7 O 0.8280 0.1720 0.1811  1 Nb 2.06, 1 Bi 2.30
8 O 0.6917 0.6917 0.9707  1 Nb 2.01
9 O 0.1917 0.8083 0.4707  1 Nb 2.01
10 O 0.2750 0.2750 0.3472  1 Nb 2.04
11 O 0.8083 0.1917 0.4707  1 Nb 2.01
12 O 0.2250 0.7750 0.8472  1 Nb 2.04
13 Bi 0.5000 0.5000 0.4992  6 O 2.30-2.31
14 Bi 0.0000 0.0000 0.9992  6 O 2.30-2.31
15 Ac 0.5000 0.5000 0.1683  6 O 2.43-2.51
16 Ac 0.0000 0.0000 0.6683  6 O 2.43-2.51
17 Nb 0.5000 0.5000 0.8347  6 O 2.01-2.06
18 Nb 0.0000 0.0000 0.3347  6 O 2.01-2.06